## LiYCoGe2 (GGA-PBE)

Data for a relaxed structure of LiYCoGe2.

a = 5.850 Å, b = 5.850 Å, c = 5.850 Å
α = 139.70°, β = 139.70°, γ = 58.30°
Last column: magnetic moment on the atom in μB.
Fractional positions:
Co1 0.000 0.000 0.000  0.54
Ge1 0.626 0.126 0.500  0.00
Ge2 0.874 0.374 0.500  0.01
Li1 0.500 0.500 0.000  0.00
Y1 0.250 0.750 0.500  0.04

Calculated total energy ... -27.4 eV/cell
Symmetry ... I-4m2, No. 119